1.
# KV4O10

KV4O10 after structural relaxation (GGA+U, the Alexandria database).

electronic total energy = -108.865 eV per cell
ΔE to the lowest computed polymorph = 2.4 meV/atom
ρ = 3.1 g/cm³
SG = Cm (8)

a b c (Å): 6.1584 6.1584 9.8381
angles (deg): 88.29 88.29 35.17
With the nearest neighbours (Å) after each atom.
Positions (direct):
K1 0.4060 0.4060 0.4766  7 O 2.80-2.84
V1 0.0603 0.0603 0.1554  2 O 1.64-1.79
V2 0.9377 0.9377 0.8455  2 O 1.64-1.82
V3 0.7645 0.7645 0.1596  1 O 1.64
V4 0.2346 0.2346 0.8415  1 O 1.62
O1 0.5972 0.5972 0.1299  3 V 1.92-2.00
O2 0.4029 0.4029 0.8734  3 V 1.92-2.01
O3 0.7832 0.7832 0.3238  1 V 1.64
O4 0.2264 0.2264 0.6774  1 V 1.62
O5 0.9189 0.9189 0.0920  2 V 1.79-1.91
O6 0.0839 0.0839 0.9020  2 V 1.82-1.85
O7 0.0381 0.0381 0.3204  1 V 1.64
O8 0.9534 0.9534 0.6794  1 V 1.64
O9 0.2357 0.2357 0.1157  3 V 1.94-2.08
O10 0.7636 0.7636 0.8838  3 V 1.94-2.07

---

2.
# KVO3

KVO3 after structural relaxation (GGA+U, the Alexandria database).

electronic total energy = -133.619 eV per cell
ρ = 2.4 g/cm³
SG = P2_1/m (11)

a b c (Å): 5.2360 6.9218 10.9718
angles (deg): 101.49 90.00 90.00
With the nearest neighbours (Å) after each atom.
Positions (direct):
K1 0.7500 0.9691 0.7110  5 O 2.67-2.86
K2 0.2500 0.0309 0.2890  5 O 2.67-2.86
K3 0.2500 0.5309 0.7890  5 O 2.67-2.86
K4 0.7500 0.4691 0.2110  5 O 2.67-2.86
V1 0.2500 0.5438 0.4597  3 O 1.66-1.86
V2 0.7500 0.4562 0.5403  3 O 1.66-1.86
V3 0.7500 0.9562 0.0403  3 O 1.66-1.86
V4 0.2500 0.0438 0.9597  3 O 1.66-1.86
O1 0.0026 0.6472 0.5826  2 V 1.86-1.90
O2 0.9974 0.3528 0.4174  2 V 1.86-1.90
O3 0.5026 0.8528 0.9174  2 V 1.86-1.90
O4 0.4974 0.1472 0.0826  2 V 1.86-1.90
O5 0.4974 0.6472 0.5826  2 V 1.86-1.90
O6 0.5026 0.3528 0.4174  2 V 1.86-1.90
O7 0.9974 0.8528 0.9174  2 V 1.86-1.90
O8 0.0026 0.1472 0.0826  2 V 1.86-1.90
O9 0.2500 0.6751 0.3481  1 V 1.66
O10 0.7500 0.3249 0.6519  1 V 1.66
O11 0.7500 0.8249 0.1519  1 V 1.66
O12 0.2500 0.1751 0.8481  1 V 1.66

---

3.
# K4V2O7

K4V2O7 after structural relaxation (GGA+U, the Alexandria database).

electronic total energy = -80.053 eV per cell
ρ = 2.6 g/cm³
SG = C2/m (12)

a b c (Å): 6.1366 6.1366 7.3575
angles (deg): 80.38 80.38 62.21
With the nearest neighbours (Å) after each atom.
Positions (direct):
K1 0.6796 0.6796 0.3049  4 O 2.80-3.00
K2 0.3204 0.3204 0.6951  4 O 2.80-3.00
K3 0.0000 0.0000 0.5000  4 O 2.62
K4 0.0000 0.0000 0.0000  2 O 2.66
V1 0.6358 0.6358 0.7996  4 O 1.71-1.84
V2 0.3642 0.3642 0.2004  4 O 1.71-1.84
O1 0.7849 0.7849 0.8611  1 V 1.71
O2 0.3966 0.8394 0.6724  1 V 1.72
O3 0.2151 0.2151 0.1389  1 V 1.71
O4 0.1606 0.6034 0.3276  1 V 1.72
O5 0.8394 0.3966 0.6724  1 V 1.72
O6 0.5000 0.5000 0.0000  2 V 1.84
O7 0.6034 0.1606 0.3276  1 V 1.72